No. 1
# Li2TcIr | the Alexandria database | PBE-GGA | relaxed
# E_form: 0.05 eV/atom
# energy relative to the lowest polymorph listed for this composition: 12.3 kJ/mol of atoms
data_Li2TcIr
_symmetry_space_group_name_H-M 'P 1 2/m 1'
_symmetry_Int_Tables_number 10
_cell_length_a 2.628
_cell_length_b 4.633
_cell_length_c 4.638
_cell_angle_alpha 90.00
_cell_angle_beta 92.62
_cell_angle_gamma 90.00
loop_
_symmetry_equiv_pos_as_xyz
'x,y,z'
'-x,-y,-z'
'-x,y,-z'
'x,-y,z'
loop_
_atom_site_label
_atom_site_fract_x
_atom_site_fract_y
_atom_site_fract_z
Li1 0.223 0.000 0.251
Tc1 0.500 0.500 0.000
Ir1 0.000 0.500 0.500

---

No. 2
# Li2TcIr | the Alexandria database | PBE-GGA | relaxed
# E_form: 0.46 eV/atom
# energy relative to the lowest polymorph listed for this composition: 51.9 kJ/mol of atoms
data_Li2TcIr
_symmetry_space_group_name_H-M 'F m -3 m'
_symmetry_Int_Tables_number 225
_symmetry_space_group_name_Hall '-F 4 2 3'
_cell_length_a 5.876
_cell_length_b 5.876
_cell_length_c 5.876
_cell_angle_alpha 90.00
_cell_angle_beta 90.00
_cell_angle_gamma 90.00
loop_
_atom_site_label
_atom_site_fract_x
_atom_site_fract_y
_atom_site_fract_z
Li1 0.250 0.250 0.250
Tc1 0.000 0.000 0.000
Ir1 0.000 0.000 0.500

---

No. 3
# LiTc2Ir | the Alexandria database | PBE-GGA | relaxed
# E_form: 0.22 eV/atom
# energy relative to the lowest polymorph listed for this composition: 19.6 kJ/mol of atoms
data_LiTc2Ir
_symmetry_space_group_name_H-M 'P 4/m m m'
_symmetry_Int_Tables_number 123
_symmetry_space_group_name_Hall '-P 4 2'
_cell_length_a 2.653
_cell_length_b 2.653
_cell_length_c 8.356
_cell_angle_alpha 90.00
_cell_angle_beta 90.00
_cell_angle_gamma 90.00
loop_
_atom_site_label
_atom_site_fract_x
_atom_site_fract_y
_atom_site_fract_z
Li1 0.000 0.000 0.000
Tc1 0.500 0.500 0.262
Ir1 0.000 0.000 0.500

---

No. 4
# LiTc2Ir | the Alexandria database | PBE-GGA | relaxed
# E_form: 0.28 eV/atom
# energy relative to the lowest polymorph listed for this composition: 25.5 kJ/mol of atoms
data_LiTc2Ir
_symmetry_space_group_name_H-M 'F m -3 m'
_symmetry_Int_Tables_number 225
_symmetry_space_group_name_Hall '-F 4 2 3'
_cell_length_a 6.060
_cell_length_b 6.060
_cell_length_c 6.060
_cell_angle_alpha 90.00
_cell_angle_beta 90.00
_cell_angle_gamma 90.00
loop_
_atom_site_label
_atom_site_fract_x
_atom_site_fract_y
_atom_site_fract_z
Li1 0.000 0.000 0.000
Tc1 0.250 0.250 0.250
Ir1 0.000 0.000 0.500

---

No. 5
# LiTcIr | the Alexandria database | PBE-GGA | relaxed
# E_form: 0.01 eV/atom
# energy relative to the lowest polymorph listed for this composition: 2.2 kJ/mol of atoms
data_LiTcIr
_symmetry_space_group_name_H-M 'P -6 m 2'
_symmetry_Int_Tables_number 187
_symmetry_space_group_name_Hall 'P -6 2'
_cell_length_a 2.7154
_cell_length_b 2.7154
_cell_length_c 13.5773
_cell_angle_alpha 90.00
_cell_angle_beta 90.00
_cell_angle_gamma 120.00
loop_
_atom_site_label
_atom_site_fract_x
_atom_site_fract_y
_atom_site_fract_z
Li1 0.0000 0.0000 0.1584
Tc1 0.6667 0.3333 0.3402
Ir1 0.0000 0.0000 0.5000
Ir2 0.6667 0.3333 0.0000

---

No. 6
# Li2TcIr2 | the Alexandria database | PBE-GGA | relaxed
# E_form: 0.17 eV/atom
# energy relative to the lowest polymorph listed for this composition: 0.0 kJ/mol of atoms
data_Li2TcIr2
_symmetry_space_group_name_H-M 'P 4/m b m'
_symmetry_Int_Tables_number 127
_symmetry_space_group_name_Hall '-P 4 2ab'
_cell_length_a 6.708
_cell_length_b 6.708
_cell_length_c 2.793
_cell_angle_alpha 90.00
_cell_angle_beta 90.00
_cell_angle_gamma 90.00
loop_
_atom_site_label
_atom_site_fract_x
_atom_site_fract_y
_atom_site_fract_z
Li1 0.107 0.393 0.000
Tc1 0.000 0.000 0.000
Ir1 0.194 0.694 0.500

---

No. 7
# LiTc2Ir | the Alexandria database | PBE-GGA | relaxed
# E_form: 0.12 eV/atom
# energy relative to the lowest polymorph listed for this composition: 10.7 kJ/mol of atoms
data_LiTc2Ir
_symmetry_space_group_name_H-M 'I m m 2'
_symmetry_Int_Tables_number 44
_cell_length_a 2.872
_cell_length_b 4.470
_cell_length_c 8.581
_cell_angle_alpha 90.00
_cell_angle_beta 90.00
_cell_angle_gamma 90.00
loop_
_symmetry_equiv_pos_as_xyz
'x,y,z'
'-x,-y,z'
'-x,y,z'
'x,-y,z'
'x+1/2,y+1/2,z+1/2'
'-x+1/2,-y+1/2,z+1/2'
'-x+1/2,y+1/2,z+1/2'
'x+1/2,-y+1/2,z+1/2'
loop_
_atom_site_label
_atom_site_fract_x
_atom_site_fract_y
_atom_site_fract_z
Li1 0.000 0.000 0.000
Tc1 0.000 0.000 0.497
Tc2 0.000 0.500 0.750
Ir1 0.000 0.500 0.258

---

No. 8
# Li2TcIr | the Alexandria database | PBE-GGA | relaxed
# E_form: 0.14 eV/atom
# energy relative to the lowest polymorph listed for this composition: 21.3 kJ/mol of atoms
data_Li2TcIr
_symmetry_space_group_name_H-M 'C m m 2'
_symmetry_Int_Tables_number 35
_cell_length_a 2.819
_cell_length_b 4.564
_cell_length_c 9.428
_cell_angle_alpha 90.00
_cell_angle_beta 90.00
_cell_angle_gamma 90.00
loop_
_symmetry_equiv_pos_as_xyz
'x,y,z'
'-x,-y,z'
'-x,y,z'
'x,-y,z'
'x+1/2,y+1/2,z'
'-x+1/2,-y+1/2,z'
'-x+1/2,y+1/2,z'
'x+1/2,-y+1/2,z'
loop_
_atom_site_label
_atom_site_fract_x
_atom_site_fract_y
_atom_site_fract_z
Li1 0.000 0.000 0.000
Li2 0.000 0.500 0.281
Tc1 0.000 0.500 0.751
Ir1 0.000 0.000 0.516

---

- energy relative to the lowest polymorph listed for this composition of number 4 (LiTc2Ir)?
  25.5 kJ/mol of atoms